Compound: CsErCuS3
Source: Alexandria via LeMat-Bulk
Functional: PBE
Structure: relaxed

Lattice parameters (Å, degrees): 3.9777 9.3197 9.7253 111.76 90.00 90.00
Sites, in units of the cell vectors:
Cs 0.2500 0.2135 0.2467
Cs 0.7500 0.7865 0.7533
Er 0.2500 0.6700 0.1387
Er 0.7500 0.3300 0.8613
Cu 0.2500 0.0813 0.6114
Cu 0.7500 0.9187 0.3886
S 0.7500 0.8699 0.1400
S 0.2500 0.1301 0.8600
S 0.2500 0.8266 0.4480
S 0.7500 0.1734 0.5520
S 0.7500 0.4783 0.1566
S 0.2500 0.5217 0.8434

Values from the calculation:
Raw formation energy: -7.661 eV/f.u.
Total energy: -4.926 eV/atom
SG: No. 11

Compound: KFeAs2
Source: Alexandria via LeMat-Bulk
Functional: PBE
Structure: relaxed

Lattice parameters (Å, degrees): 5.5650 5.5650 5.5650 136.89 106.50 89.20
Site moments in Bohr magnetons follow the coordinates.
Sites, in units of the cell vectors:
As 0.9065 0.9065 0.0000  -0.04
As 0.5935 0.5935 0.0000  -0.04
Fe 0.7500 0.2500 0.5000  2.49
K 0.2500 0.7500 0.5000  0.00

Values from the calculation:
Formation energy from the elements: 0.0439 eV per atom
Total energy: -4.671 eV/atom
Relative energy among the computed polymorphs: 0.75 eV per formula unit
SG: No. 71

Compound: Ba4SnBiH
Source: Alexandria via LeMat-Bulk
Functional: PBE
Structure: relaxed

Lattice parameters (Å, degrees): 7.5890 7.5631 10.3186 90.00 111.58 90.00
Sites, in units of the cell vectors:
Ba 0.9265 0.2500 0.8531
Ba 0.4365 0.7500 0.8731
Ba 0.0735 0.7500 0.1469
Ba 0.5635 0.2500 0.1269
Ba 0.5000 0.5000 0.5000
Ba 0.0000 0.0000 0.5000
Ba 0.5000 0.0000 0.5000
Ba 0.0000 0.5000 0.5000
Sn 0.6208 0.7500 0.2416
Sn 0.3792 0.2500 0.7584
Bi 0.1155 0.2500 0.2311
Bi 0.8845 0.7500 0.7689
H 0.2258 0.7500 0.4516
H 0.7742 0.2500 0.5484

Values from the calculation:
Total energy: -3.383 eV/atom
SG: No. 63

Compound: Li2CaDy2Tl2
Source: Alexandria via LeMat-Bulk
Functional: PBE
Structure: relaxed

Lattice parameters (Å, degrees): 4.8820 4.8820 9.5545 75.20 75.20 60.00
Sites, in units of the cell vectors:
Li 0.6027 0.6027 0.1920
Li 0.3973 0.3973 0.8080
Ca 0.0000 0.0000 0.0000
Dy 0.1281 0.1281 0.6158
Dy 0.8719 0.8719 0.3842
Tl 0.7443 0.7443 0.7672
Tl 0.2557 0.2557 0.2328

Values from the calculation:
Formation energy from the elements: -0.1780 eV per atom
Total energy: -3.002 eV/atom
SG: No. 166